This record from Alexandria describes a relaxed structure of YPt2Au. The functional is GGA-PBEsol.

Unit cell a=5.0319 b=5.0319 c=5.0319 alpha=131.39 beta=131.39 gamma=71.19
Sites, in units of the cell vectors:
Y 0.0000 0.0000 0.0000
Pt 0.2500 0.7500 0.5000
Pt 0.7500 0.2500 0.5000
Au 0.5000 0.5000 0.0000

Output
ΔE_f, eV per atom: -0.85
Calculated total energy, eV/atom: -7.01

This record from Alexandria describes a relaxed structure of LiCa2Tl. The functional is GGA-PBEsol.

Unit cell a=6.2186 b=6.2186 c=5.5093 alpha=109.47 beta=109.47 gamma=34.85
Sites, in units of the cell vectors:
Li 0.0000 0.0000 0.0000
Ca 0.5646 0.5646 0.5649
Ca 0.7748 0.7748 0.2284
Tl 0.3108 0.3108 0.7524

Output
ΔE_f, eV per atom: -0.25
Calculated total energy, eV/atom: -2.46
ΔE to the lowest computed polymorph, eV/atom: 0.083

This record from Alexandria describes a relaxed structure of K2Li14Pb3O14. The functional is GGA-PBEsol.

Unit cell a=8.3545 b=8.3545 c=8.3545 alpha=128.46 beta=123.12 gamma=80.31
Sites, in units of the cell vectors:
K 0.0000 0.2492 0.2492
K 0.0000 0.7508 0.7508
Li 0.0850 0.2299 0.8550
Li 0.2086 0.1381 0.6150
Li 0.2086 0.5936 0.0705
Li 0.3422 0.5000 0.8422
Li 0.3749 0.2299 0.1450
Li 0.4768 0.4064 0.6150
Li 0.4768 0.8619 0.0705
Li 0.5232 0.1381 0.9295
Li 0.5232 0.5936 0.3850
Li 0.6251 0.7701 0.8550
Li 0.6578 0.5000 0.1578
Li 0.7914 0.4064 0.9295
Li 0.7914 0.8619 0.3850
Li 0.9150 0.7701 0.1450
Pb 0.2282 0.7282 0.5000
Pb 0.5000 0.0000 0.5000
Pb 0.7718 0.2718 0.5000
O 0.0893 0.3730 0.7162
O 0.1854 0.8726 0.3128
O 0.2490 0.0415 0.7925
O 0.2490 0.4565 0.2075
O 0.3432 0.6270 0.7162
O 0.4401 0.1274 0.3128
O 0.5000 0.2960 0.7960
O 0.5000 0.7040 0.2040
O 0.5599 0.8726 0.6872
O 0.6568 0.3730 0.2838
O 0.7510 0.5435 0.7925
O 0.7510 0.9585 0.2075
O 0.8146 0.1274 0.6872
O 0.9107 0.6270 0.2838

Output
Calculated total energy, eV/atom: -5.13
Raw formation energy, eV/atom: -1.63

This record from Alexandria describes a relaxed structure of ZnCuP2. The functional is GGA-PBEsol.

Unit cell a=4.5177 b=4.5177 c=4.5177 alpha=128.23 beta=128.23 gamma=76.26
Sites, in units of the cell vectors:
Zn 0.0000 0.0000 0.0000
Cu 0.5000 0.5000 0.0000
P 0.2500 0.7500 0.5000
P 0.7500 0.2500 0.5000

Output
ΔE_f, eV per atom: 0.35
Calculated total energy, eV/atom: -4.02

This record from Alexandria describes a relaxed structure of Si3PtI. The functional is GGA-PBEsol.

Unit cell a=4.7709 b=4.7709 c=4.7709 alpha=90.00 beta=90.00 gamma=90.00
Sites, in units of the cell vectors:
Si 0.0000 0.0000 0.5000
Si 0.0000 0.5000 0.0000
Si 0.5000 0.0000 0.0000
Pt 0.0000 0.0000 0.0000
I 0.5000 0.5000 0.5000

Output
Calculated total energy, eV/atom: -4.79
Raw formation energy, eV/atom: 0.41

This record from Alexandria describes a relaxed structure of CdIn2Ag. The functional is GGA-PBEsol.

Unit cell a=9.3089 b=9.3089 c=9.3089 alpha=20.42 beta=20.42 gamma=20.42
Sites, in units of the cell vectors:
Cd 0.0000 0.0000 0.0000
In 0.2457 0.2457 0.2457
In 0.7543 0.7543 0.7543
Ag 0.5000 0.5000 0.5000

Output
ΔE_f, eV per atom: 0.01
Calculated total energy, eV/atom: -2.61

This record from Alexandria describes a relaxed structure of TeAsCl3. The functional is GGA-PBEsol.

Unit cell a=5.2989 b=5.2989 c=5.2989 alpha=90.00 beta=90.00 gamma=90.00
Sites, in units of the cell vectors:
Te 0.0000 0.0000 0.0000
As 0.5000 0.5000 0.5000
Cl 0.0000 0.0000 0.5000
Cl 0.0000 0.5000 0.0000
Cl 0.5000 0.0000 0.0000

Output
Calculated total energy, eV/atom: -2.64
Raw formation energy, eV/atom: 0.29

This record from Alexandria describes a relaxed structure of MnReSb2. The functional is GGA-PBEsol.

Unit cell a=3.0949 b=3.0949 c=8.5856 alpha=90.00 beta=90.00 gamma=116.26
Sites, in units of the cell vectors:
Mn 0.0000 0.0000 0.0000
Re 0.0000 0.0000 0.5000
Sb 0.5000 0.5000 0.2497
Sb 0.5000 0.5000 0.7503

Output
Calculated total energy, eV/atom: -7.28
ΔE to the lowest computed polymorph, eV/atom: 0.362
Raw formation energy, eV/atom: 0.77

This record from Alexandria describes a relaxed structure of Y2TiTlI. The functional is GGA-PBEsol.

Unit cell a=5.5103 b=5.5103 c=5.7919 alpha=90.00 beta=90.00 gamma=90.00
Sites, in units of the cell vectors:
Y 0.0000 0.5000 0.0000
Y 0.5000 0.0000 0.0000
Ti 0.0000 0.0000 0.5000
Tl 0.5000 0.5000 0.5000
I 0.5000 0.5000 0.0000

Output
Calculated total energy, eV/atom: -4.51
Raw formation energy, eV/atom: 0.76

This record from Alexandria describes a relaxed structure of TaRu2Rh. The functional is GGA-PBEsol.

Unit cell a=4.3571 b=4.3571 c=4.3571 alpha=60.00 beta=60.00 gamma=60.00
Sites, in units of the cell vectors:
Ta 0.0000 0.0000 0.0000
Ru 0.5000 0.5000 0.5000
Ru 0.7500 0.7500 0.7500
Rh 0.2500 0.2500 0.2500

Output
ΔE_f, eV per atom: 0.13
Calculated total energy, eV/atom: -10.13
ΔE to the lowest computed polymorph, eV/atom: 0.457

This record from Alexandria describes a relaxed structure of TaMnRu2. The functional is GGA-PBEsol.

Unit cell a=5.0281 b=5.0281 c=5.0281 alpha=143.50 beta=130.71 gamma=62.86
Sites, in units of the cell vectors:
Ta 0.0000 0.0000 0.0000
Mn 0.2486 0.7486 0.5000
Ru 0.4897 0.4897 0.0000
Ru 0.7519 0.2519 0.5000

Output
ΔE_f, eV per atom: 0.01
Calculated total energy, eV/atom: -10.66
ΔE to the lowest computed polymorph, eV/atom: 0.184

This record from Alexandria describes a relaxed structure of Mn2SbAuCl. The functional is GGA-PBEsol.

Unit cell a=5.1006 b=5.1006 c=5.0524 alpha=90.00 beta=90.00 gamma=90.00
Sites, in units of the cell vectors:
Mn 0.0000 0.5000 0.0000
Mn 0.5000 0.0000 0.0000
Sb 0.0000 0.0000 0.5000
Au 0.0000 0.0000 0.0000
Cl 0.5000 0.5000 0.5000

Output
Calculated total energy, eV/atom: -5.28
Raw formation energy, eV/atom: 0.72

This record from Alexandria describes a relaxed structure of Tc2SbW. The functional is GGA-PBEsol.

Unit cell a=2.9515 b=4.1151 c=5.2487 alpha=90.00 beta=90.00 gamma=90.00
Sites, in units of the cell vectors:
Tc 0.0000 0.0000 0.0000
Tc 0.5000 0.5000 0.2640
Sb 0.5000 0.5000 0.7643
W 0.0000 0.0000 0.4769

Output
Calculated total energy, eV/atom: -9.93
Raw formation energy, eV/atom: 0.30

This record from Alexandria describes a relaxed structure of CuNiMo2. The functional is GGA-PBEsol.

Unit cell a=8.9504 b=8.9504 c=8.9504 alpha=16.96 beta=16.96 gamma=16.96
Sites, in units of the cell vectors:
Cu 0.0000 0.0000 0.0000
Ni 0.5000 0.5000 0.5000
Mo 0.2478 0.2478 0.2478
Mo 0.7522 0.7522 0.7522

Output
ΔE_f, eV per atom: 0.26
Calculated total energy, eV/atom: -8.24

This record from Alexandria describes a relaxed structure of Ba3SBr. The functional is GGA-PBEsol.

Unit cell a=5.9784 b=5.9784 c=5.9784 alpha=90.00 beta=90.00 gamma=90.00
Sites, in units of the cell vectors:
Ba 0.0000 0.0000 0.5000
Ba 0.0000 0.5000 0.0000
Ba 0.5000 0.0000 0.0000
S 0.5000 0.5000 0.5000
Br 0.0000 0.0000 0.0000

Output
Calculated total energy, eV/atom: -3.14
Raw formation energy, eV/atom: -0.60

This record from Alexandria describes a relaxed structure of Be2Pt3. The functional is GGA-PBEsol.

Unit cell a=3.8702 b=3.8702 c=4.8299 alpha=90.00 beta=90.00 gamma=120.00
Sites, in units of the cell vectors:
Be 0.3333 0.6667 0.3228
Be 0.6667 0.3333 0.6772
Pt 0.0000 0.0000 0.5000
Pt 0.3333 0.6667 0.8353
Pt 0.6667 0.3333 0.1647

Output
ΔE_f, eV per atom: -0.62
Calculated total energy, eV/atom: -6.40

This record from Alexandria describes a relaxed structure of ZrCuNi2. The functional is GGA-PBEsol.

Unit cell a=3.1624 b=3.3339 c=5.0874 alpha=90.00 beta=90.00 gamma=90.00
Sites, in units of the cell vectors:
Zr 0.0000 0.0000 0.0000
Cu 0.5000 0.5000 0.2914
Ni 0.0000 0.0000 0.5035
Ni 0.5000 0.5000 0.7545

Output
ΔE_f, eV per atom: -0.16
Calculated total energy, eV/atom: -6.59

This record from Alexandria describes a relaxed structure of SiBi3. The functional is GGA-PBEsol.

Unit cell a=5.3584 b=5.3584 c=5.3584 alpha=60.00 beta=60.00 gamma=60.00
Sites, in units of the cell vectors:
Si 0.0000 0.0000 0.0000
Bi 0.2500 0.2500 0.2500
Bi 0.5000 0.5000 0.5000
Bi 0.7500 0.7500 0.7500

Output
Calculated total energy, eV/atom: -4.30
Raw formation energy, eV/atom: 0.35

This record from Alexandria describes a relaxed structure of Ba3PbBr. The functional is GGA-PBEsol.

Unit cell a=6.6688 b=6.6688 c=6.6688 alpha=90.00 beta=90.00 gamma=90.00
Sites, in units of the cell vectors:
Ba 0.0000 0.0000 0.5000
Ba 0.0000 0.5000 0.0000
Ba 0.5000 0.0000 0.0000
Pb 0.0000 0.0000 0.0000
Br 0.5000 0.5000 0.5000

Output
Calculated total energy, eV/atom: -2.93
Raw formation energy, eV/atom: -0.47

This record from Alexandria describes a relaxed structure of LiZn2Sb. The functional is GGA-PBEsol.

Unit cell a=4.6750 b=4.6750 c=4.6750 alpha=60.00 beta=60.00 gamma=60.00
Sites, in units of the cell vectors:
Li 0.0000 0.0000 0.0000
Zn 0.2500 0.2500 0.2500
Zn 0.5000 0.5000 0.5000
Sb 0.7500 0.7500 0.7500

Output
Calculated total energy, eV/atom: -2.48
Raw formation energy, eV/atom: -0.06

This record from Alexandria describes a relaxed structure of CuRh2W. The functional is GGA-PBEsol.

Unit cell a=4.5263 b=4.5263 c=4.5263 alpha=129.46 beta=129.46 gamma=74.28
Sites, in units of the cell vectors:
Cu 0.0000 0.0000 0.0000
Rh 0.2500 0.7500 0.5000
Rh 0.7500 0.2500 0.5000
W 0.5000 0.5000 0.0000

Output
ΔE_f, eV per atom: -0.15
Calculated total energy, eV/atom: -8.76
ΔE to the lowest computed polymorph, eV/atom: 0.000

This record from Alexandria describes a relaxed structure of PPbO3. The functional is GGA-PBEsol.

Unit cell a=3.8107 b=3.8107 c=3.8107 alpha=90.00 beta=90.00 gamma=90.00
Sites, in units of the cell vectors:
P 0.0000 0.0000 0.0000
Pb 0.5000 0.5000 0.5000
O 0.0000 0.0000 0.5000
O 0.0000 0.5000 0.0000
O 0.5000 0.0000 0.0000

Output
Calculated total energy, eV/atom: -6.23
Raw formation energy, eV/atom: -1.13

This record from Alexandria describes a relaxed structure of CrAsNF2. The functional is GGA-PBEsol.

Unit cell a=3.8412 b=3.8412 c=3.9353 alpha=90.00 beta=90.00 gamma=90.00
Sites, in units of the cell vectors:
Cr 0.0000 0.0000 0.0000
As 0.5000 0.5000 0.5000
N 0.0000 0.0000 0.5000
F 0.0000 0.5000 0.0000
F 0.5000 0.0000 0.0000

Output
Calculated total energy, eV/atom: -6.16
ΔE to the lowest computed polymorph, eV/atom: 0.000
Raw formation energy, eV/atom: -0.61

This record from Alexandria describes a relaxed structure of TaTc. The functional is GGA-PBEsol.

Unit cell a=3.1508 b=3.1508 c=3.1508 alpha=90.00 beta=90.00 gamma=90.00
Sites, in units of the cell vectors:
Ta 0.0000 0.0000 0.0000
Tc 0.5000 0.5000 0.5000

Output
ΔE_f, eV per atom: -0.48
Calculated total energy, eV/atom: -12.39

This record from Alexandria describes a relaxed structure of MgIn3. The functional is GGA-PBEsol.

Unit cell a=3.3521 b=5.3000 c=5.4520 alpha=90.00 beta=90.00 gamma=90.00
Sites, in units of the cell vectors:
Mg 0.0000 0.0000 0.0000
In 0.0000 0.5000 0.6567
In 0.5000 0.0000 0.5006
In 0.5000 0.5000 0.1526

Output
ΔE_f, eV per atom: -0.04
Calculated total energy, eV/atom: -2.71

This record from Alexandria describes a relaxed structure of CrGaSCl2. The functional is GGA-PBEsol.

Unit cell a=4.6942 b=4.6942 c=4.7775 alpha=90.00 beta=90.00 gamma=90.00
Sites, in units of the cell vectors:
Cr 0.0000 0.0000 0.0000
Ga 0.5000 0.5000 0.5000
S 0.5000 0.5000 0.0000
Cl 0.0000 0.5000 0.5000
Cl 0.5000 0.0000 0.5000

Output
Calculated total energy, eV/atom: -4.42
Raw formation energy, eV/atom: -0.03

This record from Alexandria describes a relaxed structure of La2PtPb. The functional is GGA-PBEsol.

Unit cell a=6.0425 b=6.0425 c=6.0425 alpha=136.56 beta=136.56 gamma=63.11
Sites, in units of the cell vectors:
La 0.0000 0.0000 0.0000
La 0.7500 0.2500 0.5000
Pt 0.2500 0.7500 0.5000
Pb 0.5000 0.5000 0.0000

Output
ΔE_f, eV per atom: -0.64
Calculated total energy, eV/atom: -6.05

This record from Alexandria describes a relaxed structure of Cs2RbMgTi. The functional is GGA-PBEsol.

Unit cell a=7.2573 b=7.2573 c=5.9871 alpha=90.00 beta=90.00 gamma=90.00
Sites, in units of the cell vectors:
Cs 0.0000 0.5000 0.0000
Cs 0.5000 0.0000 0.0000
Rb 0.0000 0.0000 0.0000
Mg 0.5000 0.5000 0.5000
Ti 0.0000 0.0000 0.5000

Output
ΔE_f, eV per atom: 1.22
Calculated total energy, eV/atom: -1.37